Crystalline DyTm2Cu at its relaxed geometry. Source: the Alexandria database, functional PBE.

Computed properties:
Relative energy among the computed polymorphs (meV/atom): 141.6
Raw total energy (eV for the cell shown): -17.56
Density (g cm⁻³): 8.790

a b c (Å): 9.973 9.973 9.973
angles (deg): 20.51 20.51 20.51
Fractional positions:
Dy  0.000  0.000  0.000
Tm  0.234  0.234  0.234
Tm  0.766  0.766  0.766
Cu  0.500  0.500  0.500